Entry 1:
An optimized crystal structure of ScCd2Pb. Source: the Open Quantum Materials Database, functional PBE-GGA.

The structure belongs to space group F-43m (No. 216); the cell edges are 7.2198, 7.2198 and 7.2198 Å and the angles 90.00°, 90.00° and 90.00°. The asymmetric unit holds Sc at (0.0000, 0.0000, 0.0000), Cd at (0.0000, 0.0000, 0.5000), Cd at (0.2500, 0.2500, 0.2500) and Pb at (0.2500, 0.2500, 0.7500).

Its size of the total moment is 0.00 μB/f.u. The calculation puts the total energy at -0.22094 Ry/atom.

***

Entry 2:
An optimized crystal structure of Sc2CdPb. Source: the Open Quantum Materials Database, functional PBE-GGA.

The structure belongs to space group F-43m (No. 216); the cell edges are 7.3220, 7.3220 and 7.3220 Å and the angles 90.00°, 90.00° and 90.00°. The asymmetric unit holds Sc at (0.0000, 0.0000, 0.0000), Sc at (0.2500, 0.2500, 0.2500), Cd at (0.2500, 0.2500, 0.7500) and Pb at (0.0000, 0.0000, 0.5000).

Its size of the total moment is 1.37 μB/f.u. The calculation puts the total energy at -0.31024 Ry/atom.

***

Entry 3:
An optimized crystal structure of Cd2PbSe3. Source: the Open Quantum Materials Database, functional PBE-GGA.

The structure belongs to space group Cmcm (No. 63); the cell edges are 4.1355, 13.9132 and 10.9418 Å and the angles 90.00°, 90.00° and 90.00°. The asymmetric unit holds Cd at (0.0000, 0.0000, 0.0000), Cd at (0.0000, 0.4808, 0.2500), Pb at (0.0000, 0.2321, 0.7500), Se at (0.0000, 0.1013, 0.2500) and Se at (0.0000, 0.3628, 0.0603).

The calculation puts the total energy at -0.22738 Ry/atom.

***

Entry 4:
An optimized crystal structure of SmCdPbSe3. Source: the Open Quantum Materials Database, functional PBE-GGA.

The structure belongs to space group Cmcm (No. 63); the cell edges are 4.2792, 13.9280 and 10.8735 Å and the angles 90.00°, 90.00° and 90.00°. The asymmetric unit holds Sm at (0.0000, 0.0000, 0.0000), Cd at (0.0000, 0.4718, 0.2500), Pb at (0.0000, 0.2235, 0.7500), Se at (0.0000, 0.0954, 0.2500) and Se at (0.0000, 0.3573, 0.0479).

Its size of the total moment is 0.01 μB/f.u. The calculation puts the total energy at -0.30858 Ry/atom.

***

Entry 5:
An optimized crystal structure of TbCdPbSe3. Source: the Open Quantum Materials Database, functional PBE-GGA.

The structure belongs to space group Cmcm (No. 63); the cell edges are 4.2249, 13.9243 and 10.7840 Å and the angles 90.00°, 90.00° and 90.00°. The asymmetric unit holds Tb at (0.0000, 0.0000, 0.0000), Cd at (0.0000, 0.4652, 0.2500), Pb at (0.0000, 0.2291, 0.7500), Se at (0.0000, 0.0910, 0.2500) and Se at (0.0000, 0.3584, 0.0412).

Its size of the total moment is 0.01 μB/f.u. The calculation puts the total energy at -0.30714 Ry/atom.

***

Entry 6:
An optimized crystal structure of CdSiPb. Source: the Open Quantum Materials Database, functional PBE-GGA.

The structure belongs to space group F-43m (No. 216); the cell edges are 6.8121, 6.8121 and 6.8121 Å and the angles 90.00°, 90.00° and 90.00°. The asymmetric unit holds Cd at (0.0000, 0.0000, 0.0000), Si at (0.2500, 0.2500, 0.2500) and Pb at (0.0000, 0.0000, 0.5000).

The calculation puts the total energy at -0.22366 Ry/atom.

***

Entry 7:
An optimized crystal structure of CdSi2Pb. Source: the Open Quantum Materials Database, functional PBE-GGA.

The structure belongs to space group F-43m (No. 216); the cell edges are 7.0433, 7.0433 and 7.0433 Å and the angles 90.00°, 90.00° and 90.00°. The asymmetric unit holds Cd at (0.0000, 0.0000, 0.0000), Si at (0.0000, 0.0000, 0.5000), Si at (0.2500, 0.2500, 0.2500) and Pb at (0.2500, 0.2500, 0.7500).

The calculation puts the total energy at -0.24082 Ry/atom.

***

Entry 8:
An optimized crystal structure of Sm2Cd3Pb3. Source: the Open Quantum Materials Database, functional PBE-GGA.

The structure belongs to space group Pmmm (No. 47); the cell edges are 4.7124, 4.9187 and 9.1789 Å and the angles 90.00°, 90.00° and 90.00°. The asymmetric unit holds Sm at (0.0000, 0.0000, 0.2483), Cd at (0.0000, 0.5000, 0.5000), Cd at (0.5000, 0.5000, 0.2629), Pb at (0.0000, 0.5000, 0.0000), Pb at (0.5000, 0.0000, 0.0000) and Pb at (0.5000, 0.0000, 0.5000).

Its size of the total moment is 0.01 μB/f.u. The calculation puts the total energy at -0.24064 Ry/atom.